Compound: Cs3K2H5
Source: the Alexandria database
Functional: PBE
Structure: relaxed

The crystal system is monoclinic. As for the uncorrected energy: -2.32 eV per atom.

Geometry as CIF:
```
data_Cs3K2H5
_cell_length_a 14.238
_cell_length_b 4.307
_cell_length_c 10.629
_cell_angle_alpha 90.00
_cell_angle_beta 119.81
_cell_angle_gamma 90.00
_symmetry_space_group_name_H-M 'C 1 2/m 1'
_symmetry_Int_Tables_number 12
loop_
_symmetry_equiv_pos_as_xyz
'x,y,z'
'-x,-y,-z'
'-x,y,-z'
'x,-y,z'
'x+1/2,y+1/2,z'
'-x+1/2,-y+1/2,-z'
'-x+1/2,y+1/2,-z'
'x+1/2,-y+1/2,z'
loop_
_atom_site_label
_atom_site_fract_x
_atom_site_fract_y
_atom_site_fract_z
Cs1 0.000 0.000 0.000
Cs2 0.201 0.000 0.792
K1 0.103 0.500 0.405
H1 0.000 0.000 0.500
H2 0.090 0.500 0.881
H3 0.197 0.000 0.324
```